## SmOsNO (PBE-GGA)

Data for SmOsNO after structural relaxation.

Output
Energy relative to the lowest polymorph listed for this composition in meV per atom: 919

a = 3.550 Å, b = 3.550 Å, c = 4.304 Å
α = 90.00°, β = 90.00°, γ = 90.00°
Space group P4/mmm (No. 123)
Inequivalent atoms, fractional coordinates:
Sm: 0.000 0.000 0.000 (multiplicity 1)
Os: 0.500 0.500 0.500 (multiplicity 1)
N: 0.500 0.500 0.000 (multiplicity 1)
O: 0.000 0.000 0.500 (multiplicity 1)

***

## SmOsNO (PBE-GGA)

Data for SmOsNO after structural relaxation.

Output
Energy relative to the lowest polymorph listed for this composition in meV per atom: 608

a = 3.477 Å, b = 5.572 Å, c = 6.199 Å
α = 90.00°, β = 90.00°, γ = 90.00°
Space group Pmc2_1 (No. 26)
Inequivalent atoms, fractional coordinates:
Sm: 0.000 0.215 0.000 (multiplicity 2)
Os: 0.500 0.314 0.462 (multiplicity 2)
N: 0.500 0.448 0.197 (multiplicity 2)
O: 0.000 0.150 0.646 (multiplicity 2)

***

Number 1: V 54.24 Å³ per cell. Number 2: V 120.07 Å³ per cell.